No. 1
Below is crystalline InCoMo2 at its relaxed geometry, with properties calculated at the PBE-GGA level.

abc: 3.7461 3.7461 8.8319
angles: 90.00 90.00 90.00
Space group I4/mmm (No. 139)
Unique sites:
In (0.0000, 0.0000, 0.0000)
Co (0.0000, 0.0000, 0.5000)
Mo (0.0000, 0.5000, 0.2500)

Output
Calculated density ... 9.80 Mg/m³
Energy of formation ... 22.69 kJ/mol of atoms

=====

No. 2
Below is crystalline SrAlCr2 at its relaxed geometry, with properties calculated at the PBE-GGA level.

abc: 2.8372 2.8372 29.2213
angles: 90.00 90.00 120.00
Space group R-3m (No. 166, hexagonal axes)
Unique sites:
Sr (0.0000, 0.0000, 0.0000)
Al (0.0000, 0.0000, 0.5000)
Cr (0.0000, 0.0000, 0.2385)

Output
Calculated density ... 5.35 Mg/m³
Energy of formation ... 104.65 kJ/mol of atoms

=====

No. 3
Below is crystalline LaHfZr2H at its relaxed geometry, with properties calculated at the PBE-GGA level.

abc: 5.2045 5.2045 5.2762
angles: 90.00 90.00 90.00
Space group P4/mmm (No. 123)
Unique sites:
La (0.0000, 0.0000, 0.0000)
Hf (0.0000, 0.0000, 0.5000)
Zr (0.0000, 0.5000, 0.0000)
H (0.5000, 0.5000, 0.5000)

Output
Calculated density ... 5.82 Mg/m³

=====

No. 4
Below is crystalline AlZnRe at its relaxed geometry, with properties calculated at the PBE-GGA level.

abc: 4.3133 4.3133 2.6669
angles: 90.00 90.00 120.00
Space group P-6m2 (No. 187)
Unique sites:
Al (0.0000, 0.0000, 0.0000)
Zn (0.3333, 0.6667, 0.0000)
Re (0.6667, 0.3333, 0.5000)

Output
Calculated density ... 10.77 Mg/m³
Energy relative to the lowest polymorph listed for this composition ... 0 meV per atom
Energy of formation ... 0.52 kJ/mol of atoms

=====

No. 5
Below is crystalline YMn2BCl at its relaxed geometry, with properties calculated at the PBE-GGA level.

abc: 4.0157 4.0157 5.3536
angles: 90.00 90.00 90.00
Space group P4/mmm (No. 123)
Unique sites:
Y (0.0000, 0.0000, 0.0000)
Mn (0.0000, 0.5000, 0.5000)
B (0.0000, 0.0000, 0.5000)
Cl (0.5000, 0.5000, 0.0000)

Output
Calculated density ... 4.71 Mg/m³

=====

No. 6
Below is crystalline BaCrCo2 at its relaxed geometry, with properties calculated at the PBE-GGA level.

abc: 4.0745 4.0745 9.1158
angles: 90.00 90.00 90.00
Space group I-4m2 (No. 119)
Unique sites:
Ba (0.0000, 0.0000, 0.0000)
Cr (0.0000, 0.5000, 0.2500)
Co (0.0000, 0.0000, 0.5000)
Co (0.0000, 0.5000, 0.7500)

Output
Calculated density ... 6.74 Mg/m³
Energy relative to the lowest polymorph listed for this composition ... 770 meV per atom
Energy of formation ... 112.86 kJ/mol of atoms

=====

No. 7
Below is crystalline Nd4PbS2N at its relaxed geometry, with properties calculated at the PBE-GGA level.

abc: 7.3840 7.3840 8.1839
angles: 90.00 90.00 90.00
Space group I-42m (No. 121)
Unique sites:
Nd (0.1853, 0.1853, 0.1638)
Pb (0.0000, 0.0000, 0.5000)
S (0.0000, 0.5000, 0.2500)
N (0.0000, 0.0000, 0.0000)

Output
Calculated density ... 6.42 Mg/m³

=====

No. 8
Below is crystalline Zn3ReN4 at its relaxed geometry, with properties calculated at the PBE-GGA level.

abc: 4.7202 4.7202 9.0343
angles: 90.00 90.00 90.00
Space group I-42m (No. 121)
Unique sites:
Zn (0.0000, 0.0000, 0.0000)
Zn (0.0000, 0.5000, 0.2500)
Re (0.0000, 0.0000, 0.5000)
N (0.2319, 0.2319, 0.3824)

Output
Calculated density ... 7.23 Mg/m³
Energy relative to the lowest polymorph listed for this composition ... 0 meV per atom

=====

No. 9
Below is crystalline AlSiTe2 at its relaxed geometry, with properties calculated at the PBE-GGA level.

abc: 4.6346 3.7245 7.3153
angles: 90.00 108.15 90.00
Space group Pm (No. 6)
Unique sites:
Al (0.0000, 0.0000, 0.0000)
Si (0.3394, 0.5000, 0.9062)
Te (0.4988, 0.0000, 0.6828)
Te (0.8085, 0.5000, 0.2152)

Output
Calculated density ... 4.29 Mg/m³
Energy relative to the lowest polymorph listed for this composition ... 0 meV per atom

=====

No. 10
Below is crystalline Li3Ag2Hg3 at its relaxed geometry, with properties calculated at the PBE-GGA level.

abc: 3.4405 4.6139 9.5288
angles: 79.02 79.70 89.91
Space group P-1 (No. 2)
Unique sites:
Li (0.0000, 0.0000, 0.0000)
Li (0.1267, 0.6126, 0.7466)
Ag (0.2532, 0.2546, 0.4940)
Hg (0.3780, 0.8920, 0.2456)
Hg (0.5000, 0.5000, 0.0000)

Output
Calculated density ... 9.53 Mg/m³
Energy relative to the lowest polymorph listed for this composition ... 0 meV per atom
Energy of formation ... -24.16 kJ/mol of atoms

=====

No. 11
Below is crystalline BaPtBr6 at its relaxed geometry, with properties calculated at the PBE-GGA level.

abc: 8.3516 11.0751 6.9194
angles: 90.00 116.86 90.00
Space group C2/m (No. 12)
Unique sites:
Ba (0.0000, 0.0000, 0.0000)
Pt (0.0000, 0.5000, 0.5000)
Br (0.1259, 0.3394, 0.7868)
Br (0.2133, 0.0000, 0.5355)

Output
Calculated density ... 4.72 Mg/m³
Energy relative to the lowest polymorph listed for this composition ... 0 meV per atom

=====

No. 12
Below is crystalline SbMoRh2 at its relaxed geometry, with properties calculated at the PBE-GGA level.

abc: 4.0116 4.0116 7.9581
angles: 90.00 90.00 90.00
Space group I4/mmm (No. 139)
Unique sites:
Sb (0.0000, 0.0000, 0.0000)
Mo (0.0000, 0.0000, 0.5000)
Rh (0.0000, 0.5000, 0.2500)

Output
Calculated density ... 10.98 Mg/m³

=====

No. 13
Below is crystalline TcMoRu3 at its relaxed geometry, with properties calculated at the PBE-GGA level.

abc: 4.5539 4.5539 4.5539
angles: 90.00 90.00 90.00
Space group Pm-3m (No. 221)
Unique sites:
Tc (0.0000, 0.0000, 0.0000)
Mo (0.5000, 0.5000, 0.5000)
Ru (0.0000, 0.0000, 0.5000)

Output
Calculated density ... 8.74 Mg/m³
Energy relative to the lowest polymorph listed for this composition ... 1791 meV per atom
Energy of formation ... 182.50 kJ/mol of atoms

=====

No. 14
Below is crystalline LaMgAu4 at its relaxed geometry, with properties calculated at the PBE-GGA level.

abc: 3.8632 3.8632 19.0401
angles: 90.00 90.00 90.00
Space group I-4m2 (No. 119)
Unique sites:
La (0.0000, 0.0000, 0.0000)
Mg (0.0000, 0.5000, 0.7500)
Au (0.0000, 0.0000, 0.4217)
Au (0.0000, 0.5000, 0.1802)

Output
Calculated density ... 11.12 Mg/m³
Energy of formation ... -46.49 kJ/mol of atoms

=====

No. 15
Below is crystalline Nd2ErTe at its relaxed geometry, with properties calculated at the PBE-GGA level.

abc: 4.0082 4.0082 7.7881
angles: 90.00 90.00 90.00
Space group P4/mmm (No. 123)
Unique sites:
Nd (0.0000, 0.0000, 0.2274)
Er (0.5000, 0.5000, 0.5000)
Te (0.5000, 0.5000, 0.0000)

Output
Calculated density ... 7.74 Mg/m³
Energy relative to the lowest polymorph listed for this composition ... 0 meV per atom

=====

No. 16
Below is crystalline NdZn5Pt2 at its relaxed geometry, with properties calculated at the PBE-GGA level.

abc: 3.9404 7.5486 9.8021
angles: 90.00 90.00 90.00
Space group Immm (No. 71)
Unique sites:
Nd (0.0000, 0.0000, 0.0000)
Zn (0.0000, 0.1850, 0.3547)
Zn (0.0000, 0.5000, 0.0000)
Pt (0.0000, 0.5000, 0.2598)

Output
Calculated density ... 9.81 Mg/m³
Energy of formation ... -51.15 kJ/mol of atoms

=====

No. 17
Below is crystalline SrAl2CdCo at its relaxed geometry, with properties calculated at the PBE-GGA level.

abc: 4.6231 4.6231 5.0651
angles: 90.00 90.00 90.00
Space group P4/mmm (No. 123)
Unique sites:
Sr (0.0000, 0.0000, 0.0000)
Al (0.0000, 0.5000, 0.5000)
Cd (0.5000, 0.5000, 0.0000)
Co (0.5000, 0.5000, 0.5000)

Output
Calculated density ... 4.80 Mg/m³
Energy of formation ... -19.49 kJ/mol of atoms

=====

No. 18
Below is crystalline CuPd2Au at its relaxed geometry, with properties calculated at the PBE-GGA level.

abc: 2.8293 2.8293 7.6168
angles: 90.00 90.00 90.00
Space group P4/mmm (No. 123)
Unique sites:
Cu (0.0000, 0.0000, 0.0000)
Pd (0.5000, 0.5000, 0.2261)
Au (0.0000, 0.0000, 0.5000)

Output
Calculated density ... 12.89 Mg/m³
Energy relative to the lowest polymorph listed for this composition ... 0 meV per atom
Energy of formation ... -8.76 kJ/mol of atoms

=====

No. 19
Below is crystalline Al2CrH at its relaxed geometry, with properties calculated at the PBE-GGA level.

abc: 6.1413 6.1413 4.8099
angles: 90.00 90.00 90.00
Space group I-42d (No. 122)
Unique sites:
Al (0.1652, 0.2500, 0.1250)
Cr (0.0000, 0.0000, 0.5000)
H (0.0000, 0.0000, 0.0000)

Output
Calculated density ... 3.92 Mg/m³
Energy relative to the lowest polymorph listed for this composition ... 146 meV per atom

=====

No. 20
Below is crystalline VSeI2N at its relaxed geometry, with properties calculated at the PBE-GGA level.

abc: 5.9418 5.9418 3.6868
angles: 90.00 90.00 90.00
Space group P4/mmm (No. 123)
Unique sites:
V (0.0000, 0.0000, 0.0000)
Se (0.5000, 0.5000, 0.5000)
I (0.0000, 0.5000, 0.5000)
N (0.5000, 0.5000, 0.0000)

Output
Calculated density ... 5.07 Mg/m³
Energy relative to the lowest polymorph listed for this composition ... 1001 meV per atom

=====

| no. | total DFT energy (no corrections) (eV/atom) |
| --- | --- |
| 1 | -7.64 |
| 2 | -5.08 |
| 3 | -5.04 |
| 4 | -5.82 |
| 5 | -6.74 |
| 6 | -5.27 |
| 7 | -6.20 |
| 8 | -6.20 |
| 9 | -3.93 |
| 10 | -1.79 |
| 11 | -3.21 |
| 12 | -7.53 |
| 13 | -7.91 |
| 14 | -3.75 |
| 15 | -4.88 |
| 16 | -3.43 |
| 17 | -3.64 |
| 18 | -4.53 |
| 19 | -4.86 |
| 20 | -3.49 |